# Ce2Ga4Pd3Au

A geometry-optimized Ce2Ga4Pd3Au structure (PBE-GGA, Alexandria via LeMat-Bulk).

Output
Space-group type: P-4m2 (115)
Formation energy in eV per atom: -0.7146
Density of states at the Fermi level in states/eV/f.u.: 13.55

Unit cell a=4.3171 b=4.3171 c=10.5231 alpha=90.00 beta=90.00 gamma=90.00
Closest atoms and distances in Å follow each position.
Sites, in units of the cell vectors:
Au 0.5000 0.5000 0.5000  4 Ga 2.59
Ce 0.0000 0.5000 0.7582  6 Pd 3.27-3.47, 8 Ga 3.32-3.34, 2 Au 3.47
Pd 0.5000 0.0000 0.8695  5 Ga 2.47-2.56
Pd 0.0000 0.5000 0.1305  5 Ga 2.47-2.56
Pd 0.0000 0.0000 0.5000  4 Ga 2.59
Ga 0.0000 0.5000 0.3647  3 Pd 2.47-2.59, 2 Au 2.59
Ga 0.0000 0.0000 0.0000  4 Pd 2.56
Ga 0.5000 0.5000 0.0000  4 Pd 2.56
Ce 0.5000 0.0000 0.2418  6 Pd 3.27-3.47, 8 Ga 3.32-3.34, 2 Au 3.47
Ga 0.5000 0.0000 0.6353  3 Pd 2.47-2.59, 2 Au 2.59